SnAsS PBE optimized geometry; symmetry = P1; raw formation energy = -23 meV/atom; calculated total energy = -12.85 eV/f.u.; DOS(E_F) = 0.65 states/eV/f.u.; energy relative to the lowest polymorph listed for this composition = 0.175 eV/atom; total moment = 0.00 μB/f.u.
1.0
-3.902 -4.193 0.615
2.347 -0.416 -3.294
1.519 -3.425 1.594
Sn As S
1 1 1
direct
0.847 0.609 0.619
0.743 0.045 0.182
0.311 0.636 0.583



Cs2PuMg2Se4 PBE optimized geometry; symmetry = C2/m; raw formation energy = -1266 meV/atom; calculated total energy = -44.56 eV/f.u.; DOS(E_F) = 14.11 states/eV/f.u.; total moment = 5.98 μB/f.u.
1.0
-2.160 3.406 -1.694
-5.293 -0.032 6.682
7.387 3.225 2.712
Cs Pu Mg Se
2 1 2 4
direct
0.127 0.540 0.254
0.873 0.460 0.746
0.000 0.000 0.000
0.671 0.978 0.342
0.329 0.022 0.658
0.203 0.159 0.405
0.797 0.841 0.595
0.522 0.774 0.043
0.478 0.226 0.957